DFT (PBE) results for an optimized crystal structure of AlBi3S.

Cell: 5.4171 5.4171 5.4171 Å, 90.00 90.00 90.00°
Last column: nearest neighbours and their distance in Å.
Fractional positions:
Al  0.0000  0.0000  0.0000  12 Bi 3.83
Bi  0.0000  0.5000  0.5000  2 S 2.71
Bi  0.5000  0.0000  0.5000  2 S 2.71
Bi  0.5000  0.5000  0.0000  2 S 2.71
S  0.5000  0.5000  0.5000  6 Bi 2.71

The calculation puts the volume at 31.79 Å³ per atom.

DFT (PBE) results for an optimized crystal structure of AlBiS2.

Cell: 8.5612 3.4298 14.1790 Å, 90.00 90.00 90.00°
Last column: nearest neighbours and their distance in Å.
Fractional positions:
Al  0.0738  0.2500  0.0833  5 S 2.32-2.43
Al  0.4262  0.7500  0.5833  5 S 2.32-2.43
Al  0.5738  0.2500  0.4167  5 S 2.32-2.43
Al  0.9262  0.7500  0.9167  5 S 2.32-2.43
Bi  0.0251  0.7500  0.3978  2 S 2.71-3.00
Bi  0.4749  0.2500  0.8978  2 S 2.71-3.00
Bi  0.5251  0.7500  0.1022  2 S 2.71-3.00
Bi  0.9749  0.2500  0.6022  2 S 2.71-3.00
S  0.1266  0.2500  0.9229  3 Al 2.32-2.43
S  0.2196  0.7500  0.1519  2 Al 2.33
S  0.2804  0.2500  0.6519  2 Al 2.33
S  0.3734  0.7500  0.4229  3 Al 2.32-2.43
S  0.6266  0.2500  0.5771  3 Al 2.32-2.43
S  0.7196  0.7500  0.3481  2 Al 2.33
S  0.7804  0.2500  0.8481  2 Al 2.33
S  0.8734  0.7500  0.0771  3 Al 2.32-2.43

The calculation puts the volume at 26.02 Å³ per atom.

DFT (PBE) results for an optimized crystal structure of AlBiS2.

Cell: 3.5254 3.5254 8.1252 Å, 90.00 90.00 120.00°
Last column: nearest neighbours and their distance in Å.
Fractional positions:
Al  0.0000  0.0000  0.0000  6 S 2.40-2.45
Bi  0.3333  0.6667  0.5071  1 S 2.64
S  0.3333  0.6667  0.8315  3 Al 2.45, 1 Bi 2.64
S  0.6667  0.3333  0.1555  3 Al 2.40

The calculation puts the volume at 21.86 Å³ per atom.

DFT (PBE) results for an optimized crystal structure of AlBiS2.

Cell: 6.5022 6.5022 6.5022 Å, 102.36 102.36 124.88°
Last column: nearest neighbours and their distance in Å.
Fractional positions:
Al  0.2500  0.7500  0.5000  4 S 2.30
Al  0.7500  0.2500  0.5000  4 S 2.30
Bi  0.2500  0.2500  0.0000  2 Bi 3.01
Bi  0.7500  0.7500  0.0000  2 Bi 3.01
S  0.1508  0.6508  0.8016  2 Al 2.30
S  0.3492  0.1508  0.5000  2 Al 2.30
S  0.6508  0.8492  0.5000  2 Al 2.30
S  0.8492  0.3492  0.1984  2 Al 2.30

The calculation puts the volume at 24.99 Å³ per atom.

DFT (PBE) results for an optimized crystal structure of Al2BiS.

Cell: 7.6703 7.6703 7.6703 Å, 135.76 135.76 64.35°
Last column: nearest neighbours and their distance in Å.
Fractional positions:
Al  0.0706  0.6250  0.9456  2 S 2.45
Al  0.3750  0.3206  0.4456  2 S 2.45
Al  0.6794  0.1250  0.0544  2 S 2.45
Al  0.8750  0.9294  0.5544  2 S 2.45
Bi  0.2500  0.7500  0.5000  4 Al 2.80
Bi  0.5000  0.5000  0.0000  4 Al 2.80
S  0.0000  0.0000  0.0000  4 Al 2.45
S  0.7500  0.2500  0.5000  4 Al 2.45

The calculation puts the volume at 27.08 Å³ per atom.

DFT (PBE) results for an optimized crystal structure of AlBiS2.

Cell: 6.8287 9.2110 6.2591 Å, 90.00 90.00 90.00°
Last column: nearest neighbours and their distance in Å.
Fractional positions:
Al  0.0116  0.1198  0.0000  4 S 2.25-2.30
Al  0.4884  0.6198  0.5000  4 S 2.25-2.30
Al  0.5116  0.3802  0.0000  4 S 2.25-2.30
Al  0.9884  0.8802  0.5000  4 S 2.25-2.30
Bi  0.0120  0.5277  0.1253  1 S 2.74
Bi  0.4880  0.0277  0.6253  1 S 2.74
Bi  0.5120  0.9723  0.1253  1 S 2.74
Bi  0.9880  0.4723  0.6253  1 S 2.74
S  0.0260  0.1055  0.6413  2 Al 2.25-2.27
S  0.2100  0.7199  0.6448  2 Al 2.30
S  0.2900  0.2199  0.1448  2 Al 2.30
S  0.4740  0.6055  0.1413  2 Al 2.25-2.27
S  0.5260  0.3945  0.6413  2 Al 2.25-2.27
S  0.7100  0.7801  0.6448  2 Al 2.30
S  0.7900  0.2801  0.1448  2 Al 2.30
S  0.9740  0.8945  0.1413  2 Al 2.25-2.27

The calculation puts the volume at 24.61 Å³ per atom.

no.,ρ (Mg/m³),E above lowest polymorph (meV/atom)
1,7.2,0
2,4.8,86
3,5.7,38
4,5.0,317
5,4.5,0
6,5.1,191